RbGe4Pt5, relaxed, DFT GGA-PBE; calculated total energy = -5.36 eV per atom; energy relative to the elements = -0.392 eV per atom
1.0
-4.4065 -0.6352 -0.8302
0.9187 -11.1468 3.6532
-1.6295 2.1589 6.9971
Pt Ge Rb
10 8 2
Cartesian
-2.9611 -7.7487 3.2660
-3.3110 -3.5032 1.8746
0.3193 -5.5936 1.8002
-0.8822 -8.5273 4.8821
-1.4510 -1.6259 2.6203
-4.1625 -10.6824 6.3479
-2.0850 -0.7859 5.3430
-4.3064 -2.1844 6.1490
-1.5162 -7.6872 7.6048
-3.9565 -6.4298 7.5404
-0.3578 -8.1005 2.4160
-3.2048 -4.1343 7.1388
-3.1866 1.1641 4.3532
-4.0116 -1.7907 3.6396
-3.4854 -8.1755 5.7321
-2.6059 0.3947 1.8596
-2.1561 -5.5239 2.6353
-0.7503 -3.3385 0.8553
-3.1935 -11.7396 2.8785
-0.6497 -4.5364 5.2697